Entry 1:
Below is UN2Cl5 after structural relaxation, with properties calculated at the PBE level.

Summary:
uncorrected formation energy	0.760	eV per formula unit
magnetic moment	7.00	μB per formula unit
symmetry	P1, No. 1

```
data_UN2Cl5
_chemical_formula_sum 'U1 N2 Cl5'
_symmetry_space_group_name_H-M 'P 1'
_symmetry_Int_Tables_number 1
_cell_length_a 5.3940
_cell_length_b 8.1912
_cell_length_c 8.3651
_cell_angle_alpha 84.01
_cell_angle_beta 71.21
_cell_angle_gamma 72.43
loop_
_symmetry_equiv_pos_as_xyz
'x,y,z'
loop_
_atom_site_label
_atom_site_fract_x
_atom_site_fract_y
_atom_site_fract_z
U1 0.0000 0.0000 0.0000
N1 0.3298 0.5049 0.3503
N2 0.6805 0.5047 0.6499
Cl1 0.1461 0.6831 0.9982
Cl2 0.1542 0.0040 0.6874
Cl3 0.4999 0.0001 0.0000
Cl4 0.8458 0.9959 0.3126
Cl5 0.8538 0.3168 0.0019
```

---

Entry 2:
Below is ScTeAs after structural relaxation, with properties calculated at the PBE level.

Summary:
uncorrected formation energy	-1.512	eV per formula unit
magnetic moment	0.00	μB per formula unit
symmetry	P-6m2, No. 187

```
data_ScTeAs
_chemical_formula_sum 'Sc1 Te1 As1'
_symmetry_space_group_name_H-M 'P 1'
_symmetry_Int_Tables_number 1
_cell_length_a 4.6038
_cell_length_b 4.6038
_cell_length_c 4.0167
_cell_angle_alpha 90.00
_cell_angle_beta 90.00
_cell_angle_gamma 120.00
loop_
_symmetry_equiv_pos_as_xyz
'x,y,z'
loop_
_atom_site_label
_atom_site_fract_x
_atom_site_fract_y
_atom_site_fract_z
Sc1 0.0000 0.0000 0.0000
Te1 0.6667 0.3333 0.5000
As1 0.3333 0.6667 0.0000
```

---

Entry 3:
Below is Li4C after structural relaxation, with properties calculated at the PBE level.

Summary:
formation enthalpy at 0 K	0.329	eV/atom
magnetic moment	0.00	μB per formula unit
offset from the most stable computed form	0.0376	eV per atom
symmetry	Pm-3m, No. 221

```
data_Li4C
_chemical_formula_sum 'Li4 C1'
_symmetry_space_group_name_H-M 'P 1'
_symmetry_Int_Tables_number 1
_cell_length_a 4.1050
_cell_length_b 4.1050
_cell_length_c 4.1050
_cell_angle_alpha 90.00
_cell_angle_beta 90.00
_cell_angle_gamma 90.00
loop_
_symmetry_equiv_pos_as_xyz
'x,y,z'
loop_
_atom_site_label
_atom_site_fract_x
_atom_site_fract_y
_atom_site_fract_z
Li1 0.0000 0.0000 0.0000
Li2 0.0000 0.5000 0.5000
Li3 0.5000 0.0000 0.5000
Li4 0.5000 0.5000 0.0000
C1 0.5000 0.5000 0.5000
```

---

Entry 4:
Below is KZnRu3 after structural relaxation, with properties calculated at the PBE level.

Summary:
formation enthalpy at 0 K	2.831	eV/atom
magnetic moment	4.60	μB per formula unit
offset from the most stable computed form	1.2084	eV per atom
symmetry	Pm-3m, No. 221

```
data_KZnRu3
_chemical_formula_sum 'K1 Zn1 Ru3'
_symmetry_space_group_name_H-M 'P 1'
_symmetry_Int_Tables_number 1
_cell_length_a 4.6428
_cell_length_b 4.6428
_cell_length_c 4.6428
_cell_angle_alpha 90.00
_cell_angle_beta 90.00
_cell_angle_gamma 90.00
loop_
_symmetry_equiv_pos_as_xyz
'x,y,z'
loop_
_atom_site_label
_atom_site_fract_x
_atom_site_fract_y
_atom_site_fract_z
K1 0.0000 0.0000 0.0000
Zn1 0.5000 0.5000 0.5000
Ru1 0.0000 0.0000 0.5000
Ru2 0.0000 0.5000 0.0000
Ru3 0.5000 0.0000 0.0000
```

---

Entry 5:
Below is MgInFe2Hg after structural relaxation, with properties calculated at the PBE level.

Summary:
formation enthalpy at 0 K	1.127	eV/atom
magnetic moment	5.45	μB per formula unit
symmetry	P4/mmm, No. 123

```
data_MgInFe2Hg
_chemical_formula_sum 'Mg1 In1 Fe2 Hg1'
_symmetry_space_group_name_H-M 'P 1'
_symmetry_Int_Tables_number 1
_cell_length_a 4.6522
_cell_length_b 4.6522
_cell_length_c 4.9667
_cell_angle_alpha 90.00
_cell_angle_beta 90.00
_cell_angle_gamma 90.00
loop_
_symmetry_equiv_pos_as_xyz
'x,y,z'
loop_
_atom_site_label
_atom_site_fract_x
_atom_site_fract_y
_atom_site_fract_z
Mg1 0.0000 0.0000 0.0000
In1 0.5000 0.5000 0.5000
Fe1 0.0000 0.5000 0.0000
Fe2 0.5000 0.0000 0.0000
Hg1 0.0000 0.0000 0.5000
```

---

Entry 6:
Below is Sc3TePSe after structural relaxation, with properties calculated at the PBE level.

Summary:
uncorrected formation energy	-7.591	eV per formula unit
magnetic moment	0.02	μB per formula unit
symmetry	C2/c, No. 15

```
data_Sc3TePSe
_chemical_formula_sum 'Sc6 Te2 P2 Se2'
_symmetry_space_group_name_H-M 'P 1'
_symmetry_Int_Tables_number 1
_cell_length_a 7.5869
_cell_length_b 7.5869
_cell_length_c 6.4688
_cell_angle_alpha 96.76
_cell_angle_beta 96.76
_cell_angle_gamma 128.91
loop_
_symmetry_equiv_pos_as_xyz
'x,y,z'
loop_
_atom_site_label
_atom_site_fract_x
_atom_site_fract_y
_atom_site_fract_z
Sc1 0.1659 0.2984 0.9972
Sc2 0.2446 0.7554 0.7500
Sc3 0.2984 0.1659 0.4972
Sc4 0.7016 0.8341 0.5028
Sc5 0.7554 0.2446 0.2500
Sc6 0.8341 0.7016 0.0028
Te1 0.2514 0.7486 0.2500
Te2 0.7486 0.2514 0.7500
P1 0.0623 0.9377 0.7500
P2 0.9377 0.0623 0.2500
Se1 0.4373 0.5627 0.7500
Se2 0.5627 0.4373 0.2500
```

---

Entry 7:
Below is InGeSe2N after structural relaxation, with properties calculated at the PBE level.

Summary:
uncorrected formation energy	4.051	eV per formula unit
magnetic moment	1.96	μB per formula unit
offset from the most stable computed form	0.3616	eV per atom
symmetry	P4/mmm, No. 123

```
data_InGeSe2N
_chemical_formula_sum 'In1 Ge1 Se2 N1'
_symmetry_space_group_name_H-M 'P 1'
_symmetry_Int_Tables_number 1
_cell_length_a 5.3800
_cell_length_b 5.3800
_cell_length_c 4.1515
_cell_angle_alpha 90.00
_cell_angle_beta 90.00
_cell_angle_gamma 90.00
loop_
_symmetry_equiv_pos_as_xyz
'x,y,z'
loop_
_atom_site_label
_atom_site_fract_x
_atom_site_fract_y
_atom_site_fract_z
In1 0.0000 0.0000 0.0000
Ge1 0.5000 0.5000 0.5000
Se1 0.0000 0.5000 0.0000
Se2 0.5000 0.0000 0.0000
N1 0.0000 0.0000 0.5000
```

---

Entry 8:
Below is Ni3TeBr after structural relaxation, with properties calculated at the PBE level.

Summary:
uncorrected formation energy	3.628	eV per formula unit
magnetic moment	3.00	μB per formula unit
offset from the most stable computed form	0.0000	eV per atom
symmetry	Pm-3m, No. 221

```
data_Ni3TeBr
_chemical_formula_sum 'Ni3 Te1 Br1'
_symmetry_space_group_name_H-M 'P 1'
_symmetry_Int_Tables_number 1
_cell_length_a 4.8236
_cell_length_b 4.8236
_cell_length_c 4.8236
_cell_angle_alpha 90.00
_cell_angle_beta 90.00
_cell_angle_gamma 90.00
loop_
_symmetry_equiv_pos_as_xyz
'x,y,z'
loop_
_atom_site_label
_atom_site_fract_x
_atom_site_fract_y
_atom_site_fract_z
Ni1 0.0000 0.0000 0.5000
Ni2 0.0000 0.5000 0.0000
Ni3 0.5000 0.0000 0.0000
Te1 0.0000 0.0000 0.0000
Br1 0.5000 0.5000 0.5000
```

---

Entry 9:
Below is Tb3PmSc6 after structural relaxation, with properties calculated at the PBE level.

Summary:
formation enthalpy at 0 K	0.158	eV/atom
magnetic moment	0.00	μB per formula unit
offset from the most stable computed form	0.0000	eV per atom
symmetry	Cmc2_1, No. 36

```
data_Tb3PmSc6
_chemical_formula_sum 'Tb6 Pm2 Sc12'
_symmetry_space_group_name_H-M 'P 1'
_symmetry_Int_Tables_number 1
_cell_length_a 10.3915
_cell_length_b 10.3915
_cell_length_c 5.8973
_cell_angle_alpha 90.00
_cell_angle_beta 90.00
_cell_angle_gamma 119.30
loop_
_symmetry_equiv_pos_as_xyz
'x,y,z'
loop_
_atom_site_label
_atom_site_fract_x
_atom_site_fract_y
_atom_site_fract_z
Tb1 0.0995 0.9005 0.5000
Tb2 0.2169 0.4249 0.0970
Tb3 0.4249 0.2169 0.5970
Tb4 0.5751 0.7831 0.0970
Tb5 0.7831 0.5751 0.5970
Tb6 0.9005 0.0995 0.0000
Pm1 0.2850 0.7150 0.3858
Pm2 0.7150 0.2850 0.8858
Sc1 0.0502 0.4845 0.7064
Sc2 0.1179 0.2282 0.5566
Sc3 0.2016 0.7984 0.9349
Sc4 0.2282 0.1179 0.0566
Sc5 0.4496 0.5504 0.6342
Sc6 0.4845 0.0502 0.2064
Sc7 0.5155 0.9498 0.7064
Sc8 0.5504 0.4496 0.1342
Sc9 0.7718 0.8821 0.5566
Sc10 0.7984 0.2016 0.4349
Sc11 0.8821 0.7718 0.0566
Sc12 0.9498 0.5155 0.2064
```

---

Entry 10:
Below is KZn3H after structural relaxation, with properties calculated at the PBE level.

Summary:
E	-1.195	eV per atom
magnetic moment	0.00	μB per formula unit
symmetry	Pm-3m, No. 221

```
data_KZn3H
_chemical_formula_sum 'K1 Zn3 H1'
_symmetry_space_group_name_H-M 'P 1'
_symmetry_Int_Tables_number 1
_cell_length_a 4.6580
_cell_length_b 4.6580
_cell_length_c 4.6580
_cell_angle_alpha 90.00
_cell_angle_beta 90.00
_cell_angle_gamma 90.00
loop_
_symmetry_equiv_pos_as_xyz
'x,y,z'
loop_
_atom_site_label
_atom_site_fract_x
_atom_site_fract_y
_atom_site_fract_z
K1 0.0000 0.0000 0.0000
Zn1 0.0000 0.5000 0.5000
Zn2 0.5000 0.0000 0.5000
Zn3 0.5000 0.5000 0.0000
H1 0.5000 0.5000 0.5000
```

---

Entry 11:
Below is Pa4H3PtRh12 after structural relaxation, with properties calculated at the PBE level.

Summary:
E	-7.661	eV per atom
magnetic moment	0.00	μB per formula unit
symmetry	Im-3m, No. 229

```
data_Pa4H3PtRh12
_chemical_formula_sum 'Pa4 H3 Pt1 Rh12'
_symmetry_space_group_name_H-M 'P 1'
_symmetry_Int_Tables_number 1
_cell_length_a 7.3251
_cell_length_b 7.3251
_cell_length_c 7.3251
_cell_angle_alpha 109.47
_cell_angle_beta 109.47
_cell_angle_gamma 109.47
loop_
_symmetry_equiv_pos_as_xyz
'x,y,z'
loop_
_atom_site_label
_atom_site_fract_x
_atom_site_fract_y
_atom_site_fract_z
Pa1 0.0000 0.0000 0.5000
Pa2 0.0000 0.5000 0.0000
Pa3 0.5000 0.0000 0.0000
Pa4 0.5000 0.5000 0.5000
H1 0.0000 0.5000 0.5000
H2 0.5000 0.0000 0.5000
H3 0.5000 0.5000 0.0000
Pt1 0.0000 0.0000 0.0000
Rh1 0.0000 0.2935 0.2935
Rh2 0.0000 0.7065 0.7065
Rh3 0.2500 0.5000 0.7500
Rh4 0.2500 0.7500 0.5000
Rh5 0.2935 0.0000 0.2935
Rh6 0.2935 0.2935 0.0000
Rh7 0.5000 0.2500 0.7500
Rh8 0.5000 0.7500 0.2500
Rh9 0.7065 0.0000 0.7065
Rh10 0.7065 0.7065 0.0000
Rh11 0.7500 0.2500 0.5000
Rh12 0.7500 0.5000 0.2500
```

---

Question: Look up the magnetic moment of the first one.
Answer: 7.00 μB per formula unit

---

Question: Which formula does entry 4 have?
Answer: KZnRu3

---

Question: What is the formula in the second record?
Answer: ScTeAs

---

Please write out number 11 again, unchanged.
Below is Pa4H3PtRh12 after structural relaxation, with properties calculated at the PBE level.

Summary:
E	-7.661	eV per atom
magnetic moment	0.00	μB per formula unit
symmetry	Im-3m, No. 229

```
data_Pa4H3PtRh12
_chemical_formula_sum 'Pa4 H3 Pt1 Rh12'
_symmetry_space_group_name_H-M 'P 1'
_symmetry_Int_Tables_number 1
_cell_length_a 7.3251
_cell_length_b 7.3251
_cell_length_c 7.3251
_cell_angle_alpha 109.47
_cell_angle_beta 109.47
_cell_angle_gamma 109.47
loop_
_symmetry_equiv_pos_as_xyz
'x,y,z'
loop_
_atom_site_label
_atom_site_fract_x
_atom_site_fract_y
_atom_site_fract_z
Pa1 0.0000 0.0000 0.5000
Pa2 0.0000 0.5000 0.0000
Pa3 0.5000 0.0000 0.0000
Pa4 0.5000 0.5000 0.5000
H1 0.0000 0.5000 0.5000
H2 0.5000 0.0000 0.5000
H3 0.5000 0.5000 0.0000
Pt1 0.0000 0.0000 0.0000
Rh1 0.0000 0.2935 0.2935
Rh2 0.0000 0.7065 0.7065
Rh3 0.2500 0.5000 0.7500
Rh4 0.2500 0.7500 0.5000
Rh5 0.2935 0.0000 0.2935
Rh6 0.2935 0.2935 0.0000
Rh7 0.5000 0.2500 0.7500
Rh8 0.5000 0.7500 0.2500
Rh9 0.7065 0.0000 0.7065
Rh10 0.7065 0.7065 0.0000
Rh11 0.7500 0.2500 0.5000
Rh12 0.7500 0.5000 0.2500
```